[1]
Compound: MnCdI2
Source: Alexandria via LeMat-Bulk
Functional: PBE
Structure: optimized geometry

The magnetic moment comes out at 0.06 μB per formula unit. The calculation puts the energy above the most stable polymorph in this dataset at 70 kJ/mol of formula units. Its formation energy (no corrections) is 0.436 eV per atom. The volume is 565 Å³/cell.

a b c (Å): 7.6833 7.6833 9.5786
angles (deg): 90.00 90.00 90.00
Last column: nearest neighbours and their distance in Å.
Space group I-42d (No. 122)
Inequivalent atoms, fractional coordinates:
Mn 0.0000 0.0000 0.0000 [4 per cell]  4 I 2.50
Cd 0.0000 0.0000 0.5000 [4 per cell]  4 I 3.59
I 0.1381 0.2500 0.1250 [8 per cell]  2 Mn 2.50

***

[2]
Compound: Mn2CdI6
Source: Alexandria via LeMat-Bulk
Functional: PBE
Structure: optimized geometry

The magnetic moment comes out at 10.00 μB per formula unit. Its formation energy (no corrections) is -0.438 eV per atom. The volume is 761 Å³/cell.

a b c (Å): 14.4200 4.4369 12.0125
angles (deg): 90.00 98.07 90.00
Last column: nearest neighbours and their distance in Å.
Space group C2/m (No. 12)
Inequivalent atoms, fractional coordinates:
Mn 0.2089 0.0000 0.2389 [4 per cell]  4 I 2.68-2.74
Cd 0.0000 0.5000 0.5000 [2 per cell]  6 I 2.94-3.09
I 0.1034 0.5000 0.7288 [4 per cell]  1 Mn 2.68, 1 Cd 2.94
I 0.1318 0.0000 0.4344 [4 per cell]  1 Mn 2.74
I 0.1496 0.5000 0.1165 [4 per cell]  2 Mn 2.73